DFT (PBE) results for an optimized crystal structure of FeTe2Pb.

Lattice parameters (Å, degrees): 3.8594 3.8594 8.1236 90.00 90.00 90.00
Element x y z (fractional)
Fe: 0.0000 0.0000 0.0000
Te: 0.0000 0.0000 0.6825
Te: 0.5000 0.5000 0.0729
Pb: 0.5000 0.5000 0.4877

Computed properties:
- formation energy (no corrections) (eV per atom) = 0.132
- raw total energy (eV/atom) = -4.48
- magnetic moment (μB per formula unit) = 3.282